A geometry-optimized ZnCo2Sn structure. Source: Alexandria, functional PBE-GGA.

Lattice parameters (Å, degrees): 4.1038 4.1038 3.2210 90.00 90.00 90.00
Closest atoms and distances in Å follow each position.
Fractional coordinates of all 4 atoms:
Zn1 0.0000 0.0000 0.0000  8 Co 2.61, 4 Sn 2.90
Co1 0.0000 0.5000 0.5000  4 Sn 2.61, 4 Zn 2.61, 4 Co 2.90
Co2 0.5000 0.0000 0.5000  4 Sn 2.61, 4 Zn 2.61, 4 Co 2.90
Sn1 0.5000 0.5000 0.0000  8 Co 2.61, 4 Zn 2.90

As for the density of states at the Fermi level: 0.605 states/eV/atom. The value obtained for the total energy is -19.42 eV per cell. The calculation puts the magnetic moment at 0.0 μB per cell.



A geometry-optimized PuCdH2O6 structure. Source: Alexandria, functional PBE-GGA.

Lattice parameters (Å, degrees): 5.4850 5.6119 5.9630 62.19 89.99 61.14
Closest atoms and distances in Å follow each position.
Fractional coordinates of all 10 atoms:
Pu1 0.0000 0.0000 0.0000  4 O 1.85-1.87
Cd1 0.5102 0.0042 0.5059  4 O 2.18-2.40
H1 0.4214 0.5399 0.7828  1 O 0.98
H2 0.4773 0.5129 0.4340  1 O 1.00
O1 0.1113 0.1058 0.2148  1 Pu 1.85
O2 0.1998 0.1320 0.7691  1 Pu 1.86
O3 0.3961 0.4986 0.2943  1 H 1.00
O4 0.5848 0.5195 0.7088  1 H 0.98
O5 0.7441 0.9372 0.1885  1 Pu 1.86
O6 0.9377 0.8312 0.8161  1 Pu 1.87

The value obtained for the total energy is -66.54 eV per cell. The calculation puts the magnetic moment at 0.0 μB per cell.



A geometry-optimized RbGaCoNi2 structure. Source: Alexandria, functional PBE-GGA.

Lattice parameters (Å, degrees): 4.6707 4.6707 4.7450 90.00 90.00 90.00
Closest atoms and distances in Å follow each position.
Fractional coordinates of all 5 atoms:
Rb1 0.0000 0.0000 0.0000  4 Ni 2.34, 2 Co 2.37
Ga1 0.5000 0.5000 0.5000  4 Co 3.30, 8 Ni 3.33
Co1 0.0000 0.0000 0.5000  2 Rb 2.37
Ni1 0.0000 0.5000 0.0000  2 Rb 2.34
Ni2 0.5000 0.0000 0.0000  2 Rb 2.34

As for the density of states at the Fermi level: 0.679 states/eV/atom. The value obtained for the total energy is -11.86 eV per cell. The calculation puts the magnetic moment at 1.1 μB per cell.



A geometry-optimized Sc2CdCuRh structure. Source: Alexandria, functional PBE-GGA.

Lattice parameters (Å, degrees): 4.8740 4.8740 5.1474 90.00 90.00 90.00
Closest atoms and distances in Å follow each position.
Fractional coordinates of all 5 atoms:
Sc1 0.0000 0.5000 0.0000  2 Rh 2.44
Sc2 0.5000 0.0000 0.0000  2 Rh 2.44
Cd1 0.0000 0.0000 0.5000  2 Rh 2.57
Cu1 0.5000 0.5000 0.5000  4 Cd 3.45, 8 Sc 3.54
Rh1 0.0000 0.0000 0.0000  4 Sc 2.44, 2 Cd 2.57

As for the density of states at the Fermi level: 0.471 states/eV/atom. The value obtained for the total energy is -24.71 eV per cell. The calculation puts the magnetic moment at 0.0 μB per cell.



A geometry-optimized FeTc2W structure. Source: Alexandria, functional PBE-GGA.

Lattice parameters (Å, degrees): 4.7124 4.7124 2.7427 90.00 90.00 109.11
Closest atoms and distances in Å follow each position.
Fractional coordinates of all 4 atoms:
Fe1 0.0000 0.0000 0.0000  8 Tc 2.73, 2 W 2.73, 2 Fe 2.74
Tc1 0.0000 0.5000 0.5000  4 Fe 2.73, 4 W 2.73, 4 Tc 2.73-2.74
Tc2 0.5000 0.0000 0.5000  4 Fe 2.73, 4 W 2.73, 4 Tc 2.73-2.74
W1 0.5000 0.5000 0.0000  8 Tc 2.73, 2 Fe 2.73, 2 W 2.74

As for the density of states at the Fermi level: 1.041 states/eV/atom. The value obtained for the total energy is -41.39 eV per cell. The calculation puts the magnetic moment at 1.5 μB per cell.



A geometry-optimized Nd4ErTl5 structure. Source: Alexandria, functional PBE-GGA.

Lattice parameters (Å, degrees): 3.8173 3.8173 20.0095 90.00 90.00 90.00
Closest atoms and distances in Å follow each position.
Fractional coordinates of all 10 atoms:
Nd1 0.0000 0.0000 0.1022  8 Tl 3.39
Nd2 0.0000 0.0000 0.3066  8 Tl 3.38-3.39
Nd3 0.0000 0.0000 0.6934  8 Tl 3.38-3.39
Nd4 0.0000 0.0000 0.8978  8 Tl 3.39
Er1 0.0000 0.0000 0.5000  8 Tl 3.26
Tl1 0.5000 0.5000 0.0000  8 Nd 3.39
Tl2 0.5000 0.5000 0.2048  8 Nd 3.38-3.39
Tl3 0.5000 0.5000 0.4090  4 Er 3.26, 4 Nd 3.39, 1 Tl 3.64
Tl4 0.5000 0.5000 0.5910  4 Er 3.26, 4 Nd 3.39, 1 Tl 3.64
Tl5 0.5000 0.5000 0.7952  8 Nd 3.38-3.39

As for the density of states at the Fermi level: 0.812 states/eV/atom. The value obtained for the total energy is -39.24 eV per cell. The calculation puts the magnetic moment at 0.0 μB per cell.



A geometry-optimized ReHRu3 structure. Source: Alexandria, functional PBE-GGA.

Lattice parameters (Å, degrees): 4.7021 4.7021 4.7021 90.00 90.00 90.00
Closest atoms and distances in Å follow each position.
Fractional coordinates of all 5 atoms:
Re1 0.0000 0.0000 0.0000  6 Ru 2.35
H1 0.5000 0.5000 0.5000  12 Ru 3.32
Ru1 0.0000 0.0000 0.5000  2 Re 2.35
Ru2 0.0000 0.5000 0.0000  2 Re 2.35
Ru3 0.5000 0.0000 0.0000  2 Re 2.35

For the energy above the most stable polymorph in this dataset, the calculation gives 2191.8 meV/atom. As for the density of states at the Fermi level: 1.423 states/eV/atom. The value obtained for the total energy is -32.42 eV per cell. The calculation puts the magnetic moment at 3.2 μB per cell.



A geometry-optimized CrNiPd structure. Source: Alexandria, functional PBE-GGA.

Lattice parameters (Å, degrees): 4.1266 4.1266 2.5873 90.00 90.00 120.00
Closest atoms and distances in Å follow each position.
Fractional coordinates of all 3 atoms:
Cr1 0.0000 0.0000 0.0000  3 Ni 2.38, 2 Cr 2.59
Ni1 0.6667 0.3333 0.0066  3 Cr 2.38, 2 Ni 2.59
Pd1 0.3333 0.6667 0.5028  2 Pd 2.59, 6 Ni 2.71-2.72, 6 Cr 2.71

For the energy above the most stable polymorph in this dataset, the calculation gives 94.6 meV/atom. As for the density of states at the Fermi level: 1.114 states/eV/atom. The value obtained for the total energy is -20.13 eV per cell. The calculation puts the magnetic moment at 0.5 μB per cell.